## LaTeMoO2 (PBE with a Hubbard U)

Data for a relaxed LaTeMoO2 crystal.

Unit cell a=4.370 b=5.335 c=4.370 alpha=90.00 beta=90.00 gamma=90.00
Atoms (fractional coordinates):
Mo  0.000  0.500  0.000
Te  0.000  0.000  0.000
O  0.000  0.000  0.500
O  0.500  0.000  0.000
La  0.500  0.500  0.500

Summary:
E_tot, eV per cell: -25.97
Crystal system: tetragonal